Arrangement 1

First-principles (GGA-PBE) data for Sm3Zn2Hg3 after structural relaxation, as listed in Alexandria.

Lattice parameters (Å, degrees): 5.9709 5.9709 15.4916 90.00 90.00 134.39
With the nearest neighbours (Å) after each atom.
Fractional positions:
Sm1 0.0920 0.9080 0.6041  4 Zn 3.22-3.46, 7 Hg 3.27-3.40
Sm2 0.0920 0.9080 0.8959  4 Zn 3.22-3.46, 7 Hg 3.27-3.40
Sm3 0.3702 0.6298 0.7500  5 Hg 3.10-3.34, 4 Zn 3.33
Sm4 0.6298 0.3702 0.2500  5 Hg 3.10-3.34, 4 Zn 3.33
Sm5 0.9080 0.0920 0.1041  4 Zn 3.22-3.46, 7 Hg 3.27-3.40
Sm6 0.9080 0.0920 0.3959  4 Zn 3.22-3.46, 7 Hg 3.27-3.40
Zn1 0.2045 0.7955 0.1046  3 Hg 2.67-2.75
Zn2 0.2045 0.7955 0.3954  3 Hg 2.67-2.75
Zn3 0.7955 0.2045 0.6046  3 Hg 2.67-2.75
Zn4 0.7955 0.2045 0.8954  3 Hg 2.67-2.75
Hg1 0.3482 0.6518 0.2500  2 Zn 2.75
Hg2 0.3819 0.6181 0.5438  2 Zn 2.67, 1 Hg 2.93
Hg3 0.3819 0.6181 0.9562  2 Zn 2.67, 1 Hg 2.93
Hg4 0.6181 0.3819 0.0438  2 Zn 2.67, 1 Hg 2.93
Hg5 0.6181 0.3819 0.4562  2 Zn 2.67, 1 Hg 2.93
Hg6 0.6518 0.3482 0.7500  2 Zn 2.75

Arrangement 2

First-principles (GGA-PBE) data for Sm3Zn2Hg3 after structural relaxation, as listed in Alexandria.

Lattice parameters (Å, degrees): 9.5458 9.5458 5.3474 99.42 99.42 24.33
With the nearest neighbours (Å) after each atom.
Fractional positions:
Sm1 0.0000 0.0000 0.0000  8 Hg 3.15-3.35
Sm2 0.1507 0.1507 0.5782  4 Zn 3.01-3.25, 2 Hg 3.32
Sm3 0.8493 0.8493 0.4218  4 Zn 3.01-3.25, 2 Hg 3.32
Zn1 0.2391 0.2391 0.1567  2 Zn 2.69, 3 Hg 2.82-2.90, 1 Sm 3.01
Zn2 0.7609 0.7609 0.8433  2 Zn 2.69, 3 Hg 2.82-2.90, 1 Sm 3.01
Hg1 0.3683 0.3683 0.9217  3 Zn 2.82-2.90, 2 Sm 3.15
Hg2 0.5000 0.5000 0.5000  8 Sm 3.35-3.43, 4 Hg 3.60-3.61
Hg3 0.6317 0.6317 0.0783  3 Zn 2.82-2.90, 2 Sm 3.15

Stability, highest: arrangement 1

Arrangement 1

First-principles (GGA-PBE) data for SmZnHg2 after structural relaxation, as listed in Alexandria.

Lattice parameters (Å, degrees): 6.3644 6.3644 4.9877 90.00 90.00 92.60
With the nearest neighbours (Å) after each atom.
Fractional positions:
Sm1 0.1692 0.8308 0.7500  8 Hg 3.15-3.28, 2 Zn 3.29
Sm2 0.8308 0.1692 0.2500  8 Hg 3.15-3.28, 2 Zn 3.29
Zn1 0.5000 0.5000 0.0000  2 Zn 2.49
Zn2 0.5000 0.5000 0.5000  2 Zn 2.49
Hg1 0.0992 0.3377 0.7500  2 Zn 2.98, 4 Sm 3.15-3.28, 2 Hg 3.32
Hg2 0.3377 0.0992 0.2500  2 Zn 2.98, 4 Sm 3.15-3.28, 2 Hg 3.32
Hg3 0.6623 0.9008 0.7500  2 Zn 2.98, 4 Sm 3.15-3.28, 2 Hg 3.32
Hg4 0.9008 0.6623 0.2500  2 Zn 2.98, 4 Sm 3.15-3.28, 2 Hg 3.32

Arrangement 2

First-principles (GGA-PBE) data for SmZnHg2 after structural relaxation, as listed in Alexandria.

Lattice parameters (Å, degrees): 5.0640 5.0640 5.0640 60.00 60.00 60.00
With the nearest neighbours (Å) after each atom.
Fractional positions:
Sm1 0.0000 0.0000 0.0000  8 Hg 3.10
Zn1 0.5000 0.5000 0.5000  8 Hg 3.10
Hg1 0.2500 0.2500 0.2500  4 Zn 3.10, 4 Sm 3.10
Hg2 0.7500 0.7500 0.7500  4 Zn 3.10, 4 Sm 3.10

Arrangement 3

First-principles (GGA-PBE) data for SmZnHg2 after structural relaxation, as listed in Alexandria.

Lattice parameters (Å, degrees): 8.9388 8.9388 9.5629 90.00 90.00 150.48
With the nearest neighbours (Å) after each atom.
Fractional positions:
Sm1 0.0000 0.0000 0.0000  4 Zn 3.37, 10 Hg 3.45-3.75
Sm2 0.0000 0.0000 0.5000  4 Zn 3.37, 10 Hg 3.45-3.75
Sm3 0.1979 0.8021 0.7500  4 Zn 3.27, 9 Hg 3.28-3.45
Sm4 0.8021 0.1979 0.2500  4 Zn 3.27, 9 Hg 3.28-3.45
Zn1 0.3573 0.6427 0.0251  5 Hg 2.61-2.89
Zn2 0.3573 0.6427 0.4749  5 Hg 2.61-2.89
Zn3 0.6427 0.3573 0.5251  5 Hg 2.61-2.89
Zn4 0.6427 0.3573 0.9749  5 Hg 2.61-2.89
Hg1 0.1943 0.8057 0.0928  3 Zn 2.69-2.89, 1 Hg 3.01
Hg2 0.1943 0.8057 0.4072  3 Zn 2.69-2.89, 1 Hg 3.01
Hg3 0.3976 0.6024 0.7500  2 Zn 2.72, 1 Hg 2.76
Hg4 0.4424 0.5576 0.2500  2 Zn 2.61, 1 Hg 2.76
Hg5 0.5576 0.4424 0.7500  2 Zn 2.61, 1 Hg 2.76
Hg6 0.6024 0.3976 0.2500  2 Zn 2.72, 1 Hg 2.76
Hg7 0.8057 0.1943 0.5928  3 Zn 2.69-2.89, 1 Hg 3.01
Hg8 0.8057 0.1943 0.9072  3 Zn 2.69-2.89, 1 Hg 3.01

Stability, highest: arrangement 2

Arrangement 1

First-principles (GGA-PBE) data for Sm3ZnHg2 after structural relaxation, as listed in Alexandria.

Lattice parameters (Å, degrees): 3.7144 3.7144 11.3880 90.00 90.00 90.00
With the nearest neighbours (Å) after each atom.
Fractional positions:
Sm1 0.0000 0.0000 0.0000  8 Hg 3.30
Sm2 0.0000 0.0000 0.3474  4 Zn 3.15, 4 Hg 3.28, 1 Sm 3.47
Sm3 0.0000 0.0000 0.6526  4 Zn 3.15, 4 Hg 3.28, 1 Sm 3.47
Zn1 0.5000 0.5000 0.5000  8 Sm 3.15
Hg1 0.5000 0.5000 0.1754  8 Sm 3.28-3.30
Hg2 0.5000 0.5000 0.8246  8 Sm 3.28-3.30

Arrangement 2

First-principles (GGA-PBE) data for Sm3ZnHg2 after structural relaxation, as listed in Alexandria.

Lattice parameters (Å, degrees): 5.3055 5.3055 12.9909 90.00 90.00 120.00
With the nearest neighbours (Å) after each atom.
Fractional positions:
Sm1 0.0000 0.0000 0.2452  5 Hg 3.19-3.31, 3 Zn 3.23
Sm2 0.0000 0.0000 0.7548  5 Hg 3.19-3.31, 3 Zn 3.23
Sm3 0.3333 0.6667 0.4123  1 Zn 3.20, 7 Hg 3.24-3.35
Sm4 0.3333 0.6667 0.9177  4 Hg 3.22-3.24, 4 Zn 3.22-3.25
Sm5 0.6667 0.3333 0.0823  4 Hg 3.22-3.24, 4 Zn 3.22-3.25
Sm6 0.6667 0.3333 0.5877  1 Zn 3.20, 7 Hg 3.24-3.35
Zn1 0.3333 0.6667 0.1656  8 Sm 3.20-3.25
Zn2 0.6667 0.3333 0.8344  8 Sm 3.20-3.25
Hg1 0.0000 0.0000 0.0000  8 Sm 3.19-3.24
Hg2 0.0000 0.0000 0.5000  8 Sm 3.27-3.31
Hg3 0.3333 0.6667 0.6698  8 Sm 3.22-3.35
Hg4 0.6667 0.3333 0.3302  8 Sm 3.22-3.35

Stability, highest: arrangement 1

Arrangement 1

First-principles (GGA-PBE) data for Sm2Zn2Hg3 after structural relaxation, as listed in Alexandria.

Lattice parameters (Å, degrees): 5.8242 5.8242 7.5814 112.33 112.33 43.47
With the nearest neighbours (Å) after each atom.
Fractional positions:
Sm1 0.1388 0.1388 0.2801  4 Zn 3.06-3.25, 4 Hg 3.30-3.40
Sm2 0.8612 0.8612 0.7199  4 Zn 3.06-3.25, 4 Hg 3.30-3.40
Zn1 0.1548 0.1548 0.6969  5 Hg 2.76-2.96, 3 Sm 3.06-3.09
Zn2 0.8452 0.8452 0.3031  5 Hg 2.76-2.96, 3 Sm 3.06-3.09
Hg1 0.3781 0.3781 0.0584  3 Zn 2.82-2.96, 2 Hg 3.06-3.11
Hg2 0.5000 0.5000 0.5000  4 Zn 2.76, 2 Hg 3.06
Hg3 0.6219 0.6219 0.9416  3 Zn 2.82-2.96, 2 Hg 3.06-3.11

Arrangement 2

First-principles (GGA-PBE) data for Sm2Zn2Hg3 after structural relaxation, as listed in Alexandria.

Lattice parameters (Å, degrees): 10.4772 10.4772 3.6578 90.00 90.00 155.41
With the nearest neighbours (Å) after each atom.
Fractional positions:
Sm1 0.1610 0.8390 0.0000  6 Zn 3.06-3.12, 5 Hg 3.30-3.36
Sm2 0.8390 0.1610 0.0000  6 Zn 3.06-3.12, 5 Hg 3.30-3.36
Zn1 0.2811 0.7189 0.5000  2 Zn 2.57
Zn2 0.7189 0.2811 0.5000  2 Zn 2.57
Hg1 0.0000 0.0000 0.0000  10 Hg 3.28-3.66, 2 Sm 3.30
Hg2 0.4233 0.5767 0.5000  1 Zn 2.91, 1 Hg 3.14
Hg3 0.5767 0.4233 0.5000  1 Zn 2.91, 1 Hg 3.14

Stability, highest: arrangement 1

Arrangement 1

First-principles (GGA-PBE) data for SmZrHg2 after structural relaxation, as listed in Alexandria.

Lattice parameters (Å, degrees): 5.1790 5.1790 5.1790 60.00 60.00 60.00
With the nearest neighbours (Å) after each atom.
Fractional positions:
Sm1 0.0000 0.0000 0.0000  8 Hg 3.17
Zr1 0.5000 0.5000 0.5000  8 Hg 3.17
Hg1 0.2500 0.2500 0.2500  4 Zr 3.17, 4 Sm 3.17
Hg2 0.7500 0.7500 0.7500  4 Sm 3.17, 4 Zr 3.17

Arrangement 2

First-principles (GGA-PBE) data for SmZrHg2 after structural relaxation, as listed in Alexandria.

Lattice parameters (Å, degrees): 3.6297 3.6297 7.4140 90.00 90.00 90.00
With the nearest neighbours (Å) after each atom.
Fractional positions:
Sm1 0.0000 0.0000 0.0000  8 Hg 3.27, 4 Sm 3.63
Zr1 0.0000 0.0000 0.5000  8 Hg 3.07
Hg1 0.5000 0.5000 0.2739  4 Zr 3.07, 4 Sm 3.27, 1 Hg 3.35
Hg2 0.5000 0.5000 0.7261  4 Zr 3.07, 4 Sm 3.27, 1 Hg 3.35

Stability, highest: arrangement 2

Arrangement 1

First-principles (GGA-PBE) data for SnHg2 after structural relaxation, as listed in Alexandria.

Lattice parameters (Å, degrees): 6.5533 6.5533 6.5533 148.13 148.13 45.69
With the nearest neighbours (Å) after each atom.
Fractional positions:
Sn1 0.0000 0.0000 0.0000  8 Hg 3.24, 4 Sn 3.60
Hg1 0.3334 0.3334 0.0000  4 Sn 3.24, 8 Hg 3.25-3.60
Hg2 0.6666 0.6666 0.0000  4 Sn 3.24, 8 Hg 3.25-3.60

Arrangement 2

First-principles (GGA-PBE) data for SnHg2 after structural relaxation, as listed in Alexandria.

Lattice parameters (Å, degrees): 3.3261 3.3261 8.1163 102.12 102.12 65.83
With the nearest neighbours (Å) after each atom.
Fractional positions:
Sn1 0.0000 0.0000 0.0000  4 Hg 3.21, 4 Sn 3.33
Hg1 0.3716 0.3716 0.6624  7 Hg 3.20-3.33, 2 Sn 3.21
Hg2 0.6284 0.6284 0.3376  7 Hg 3.20-3.33, 2 Sn 3.21

Arrangement 3

First-principles (GGA-PBE) data for SnHg2 after structural relaxation, as listed in Alexandria.

Lattice parameters (Å, degrees): 4.9596 4.9748 5.0021 60.25 60.33 89.92
With the nearest neighbours (Å) after each atom.
Fractional positions:
Sn1 0.0000 0.0000 0.0000  8 Hg 3.06
Hg1 0.2494 0.7479 0.5023  4 Sn 3.06
Hg2 0.7506 0.2521 0.4977  4 Sn 3.06

Stability, highest: arrangement 2

Arrangement 1

First-principles (GGA-PBE) data for Sn2Hg after structural relaxation, as listed in Alexandria.

Lattice parameters (Å, degrees): 3.4667 3.4667 7.7939 90.00 90.00 120.00
With the nearest neighbours (Å) after each atom.
Fractional positions:
Sn1 0.3333 0.6667 0.1701  3 Hg 3.26, 9 Sn 3.32-3.47
Sn2 0.6667 0.3333 0.8299  3 Hg 3.26, 9 Sn 3.32-3.47
Hg1 0.0000 0.0000 0.5000  6 Sn 3.26, 6 Hg 3.47

Arrangement 2

First-principles (GGA-PBE) data for Sn2Hg after structural relaxation, as listed in Alexandria.

Lattice parameters (Å, degrees): 6.2968 6.2968 6.2968 145.41 145.41 49.73
With the nearest neighbours (Å) after each atom.
Fractional positions:
Sn1 0.1662 0.1662 0.0000  4 Hg 3.26, 4 Sn 3.27
Sn2 0.8338 0.8338 0.0000  4 Hg 3.26, 4 Sn 3.27
Hg1 0.5000 0.5000 0.0000  8 Sn 3.26

Stability, highest: arrangement 1

Arrangement 1

First-principles (GGA-PBE) data for Sn3Hg2 after structural relaxation, as listed in Alexandria.

Lattice parameters (Å, degrees): 8.8021 3.3269 9.5689 90.00 95.29 90.00
With the nearest neighbours (Å) after each atom.
Fractional positions:
Sn1 0.0765 0.2500 0.1370  2 Hg 3.23, 8 Sn 3.28-3.33
Sn2 0.1512 0.7500 0.4346  1 Hg 3.04, 7 Sn 3.31-3.35
Sn3 0.1993 0.2500 0.7341  3 Hg 3.05-3.38, 7 Sn 3.28-3.35
Sn4 0.8007 0.7500 0.2659  3 Hg 3.05-3.38, 7 Sn 3.28-3.35
Sn5 0.8488 0.2500 0.5654  1 Hg 3.04, 7 Sn 3.31-3.35
Sn6 0.9235 0.7500 0.8630  2 Hg 3.23, 8 Sn 3.28-3.33
Hg1 0.3531 0.7500 0.0198  5 Hg 3.13-3.33, 4 Sn 3.23-3.38
Hg2 0.4736 0.7500 0.3457  2 Sn 3.04-3.05, 5 Hg 3.20-3.38
Hg3 0.5264 0.2500 0.6543  2 Sn 3.04-3.05, 5 Hg 3.20-3.38
Hg4 0.6469 0.2500 0.9802  5 Hg 3.13-3.33, 4 Sn 3.23-3.38

Arrangement 2

First-principles (GGA-PBE) data for Sn3Hg2 after structural relaxation, as listed in Alexandria.

Lattice parameters (Å, degrees): 6.8551 6.8551 6.8551 71.33 71.33 71.33
With the nearest neighbours (Å) after each atom.
Fractional positions:
Sn1 0.0116 0.7500 0.4884  4 Hg 3.00-3.12
Sn2 0.2500 0.5116 0.9884  4 Hg 3.00-3.12
Sn3 0.4884 0.0116 0.7500  4 Hg 3.00-3.12
Sn4 0.5116 0.9884 0.2500  4 Hg 3.00-3.12
Sn5 0.7500 0.4884 0.0116  4 Hg 3.00-3.12
Sn6 0.9884 0.2500 0.5116  4 Hg 3.00-3.12
Hg1 0.0977 0.0977 0.0977  1 Hg 2.97, 6 Sn 3.00-3.12
Hg2 0.4023 0.4023 0.4023  1 Hg 2.97, 6 Sn 3.00-3.12
Hg3 0.5977 0.5977 0.5977  1 Hg 2.97, 6 Sn 3.00-3.12
Hg4 0.9023 0.9023 0.9023  1 Hg 2.97, 6 Sn 3.00-3.12

Stability, highest: arrangement 1